(1)
Density functional theory data (PBE) for a geometry-optimized FeCoW structure.

## Properties
- Fermi-level density of states: 7.12 states/eV/cell
- E_form: 0.00 eV per atom
- Uncorrected energy: -9.512 eV/atom
- Total moment: 2.206 μB per formula unit
- Offset from the most stable computed form: 0 meV/atom

Cell lengths 4.704, 4.704, 4.704 Å; angles 120.48, 119.32, 90.18 degrees
Fractional positions:
1 Fe 0.500 0.000 0.000
2 Fe 0.500 0.500 0.500
3 Co 0.000 0.000 0.000
4 Co 0.500 0.000 0.500
5 W 0.126 0.376 0.750
6 W 0.874 0.624 0.250

---

(2)
Density functional theory data (PBE) for a geometry-optimized AsPb3 structure.

## Properties
- Fermi-level density of states: 3.10 states/eV/cell
- E_form: 0.10 eV per atom
- Uncorrected energy: -3.843 eV/atom
- Total moment: 0.000 μB per formula unit
- Offset from the most stable computed form: 62 meV/atom

Cell lengths 7.050, 7.050, 5.327 Å; angles 90.00, 90.00, 106.43 degrees
Fractional positions:
1 As 0.017 0.983 0.750
2 As 0.983 0.017 0.250
3 Pb 0.104 0.436 0.250
4 Pb 0.406 0.594 0.750
5 Pb 0.436 0.104 0.750
6 Pb 0.564 0.896 0.250
7 Pb 0.594 0.406 0.250
8 Pb 0.896 0.564 0.750

---

(3)
Density functional theory data (PBE) for a geometry-optimized VZnB structure.

## Properties
- Fermi-level density of states: 1.45 states/eV/cell
- E_form: -0.27 eV per atom
- Uncorrected energy: -5.956 eV/atom
- Total moment: 0.000 μB per formula unit
- Offset from the most stable computed form: 150 meV/atom

Cell lengths 4.439, 4.439, 5.940 Å; angles 122.42, 122.42, 42.21 degrees
Fractional positions:
1 V 0.094 0.094 0.370
2 V 0.906 0.906 0.630
3 Zn 0.327 0.327 0.920
4 Zn 0.673 0.673 0.080
5 B 0.381 0.381 0.356
6 B 0.619 0.619 0.644

---

(4)
Density functional theory data (PBE) for a geometry-optimized Li2Y structure.

## Properties
- Fermi-level density of states: 3.76 states/eV/cell
- E_form: 0.17 eV per atom
- Uncorrected energy: -3.263 eV/atom
- Total moment: 0.000 μB per formula unit
- Offset from the most stable computed form: 61 meV/atom

Cell lengths 5.052, 5.052, 3.312 Å; angles 90.00, 90.00, 120.00 degrees
Fractional positions:
1 Li 0.333 0.667 0.000
2 Li 0.667 0.333 0.000
3 Y 0.000 0.000 0.500

---

(5)
Density functional theory data (PBE) for a geometry-optimized CdRu2Se structure.

## Properties
- Formation energy without anion corrections: 2.10 eV per formula unit
- Fermi-level density of states: 4.34 states/eV/cell
- Uncorrected energy: -5.213 eV/atom
- Total moment: 0.000 μB per formula unit
- Offset from the most stable computed form: 346 meV/atom

Cell lengths 3.003, 3.003, 8.583 Å; angles 90.00, 90.00, 119.34 degrees
Fractional positions:
1 Cd 0.000 0.000 0.000
2 Ru 0.500 0.500 0.278
3 Ru 0.500 0.500 0.722
4 Se 0.000 0.000 0.500

---

(6)
Density functional theory data (PBE) for a geometry-optimized LiZr2Pd7 structure.

## Properties
- Fermi-level density of states: 4.47 states/eV/cell
- E_form: -0.06 eV per atom
- Uncorrected energy: -5.591 eV/atom
- Total moment: 0.000 μB per formula unit

Cell lengths 7.917, 7.917, 4.006 Å; angles 90.00, 90.00, 125.98 degrees
Fractional positions:
1 Li 0.000 0.000 0.000
2 Zr 0.305 0.695 0.500
3 Zr 0.695 0.305 0.500
4 Pd 0.088 0.290 0.500
5 Pd 0.187 0.813 0.000
6 Pd 0.290 0.088 0.500
7 Pd 0.500 0.500 0.500
8 Pd 0.710 0.912 0.500
9 Pd 0.813 0.187 0.000
10 Pd 0.912 0.710 0.500